CoP3H16N4O11 | the Alexandria database | GGA+U | optimized geometry; spin magnetization = 8.00 μB/cell; total energy = -201.994 eV/f.u.; space-group type = P2_1/c, No. 14
1.0
7.3451 -0.0623 0.0000
-0.9486 12.4570 0.0000
0.0000 0.0000 14.3234
N H O P Co
16 64 44 12 4
Cartesian
6.2032 2.1781 7.0087
3.5143 2.9433 7.6350
1.4961 10.9361 13.0681
4.3402 3.9569 14.1704
5.6429 4.6765 8.4169
7.0290 3.1916 0.4734
2.8822 9.4513 6.6883
-0.6325 9.2030 13.8500
4.3848 3.0280 10.3887
0.2379 9.2876 11.0964
6.1586 3.1070 3.2270
0.1933 10.2165 7.3146
2.0564 8.4377 0.1529
2.0118 9.3667 3.9347
4.9005 1.4585 1.2552
0.7536 7.7182 5.9065
1.2435 4.8529 7.1742
2.0861 0.1323 9.2417
3.8162 4.8142 0.0393
6.6118 8.8848 10.9997
0.2357 2.5127 0.9322
0.2414 10.2957 10.9183
2.9830 9.7072 3.8380
6.1316 8.3019 13.9274
3.4631 10.2900 6.7657
2.0083 8.3586 3.7566
2.0620 11.1016 13.9111
2.7261 9.1945 0.3973
5.5645 1.9909 6.2272
0.2649 4.0927 0.3959
1.9152 2.5565 4.6031
6.1551 2.0989 3.4051
-0.2153 3.5098 3.3237
5.5819 3.5501 3.9707
4.7757 5.2148 8.3241
2.9334 2.1046 7.5576
0.9706 4.4818 5.6429
2.2276 1.7155 12.8046
6.8729 2.9349 6.7643
5.4259 7.9128 8.6805
2.6570 9.0967 7.6298
3.7395 3.2979 6.6935
4.4418 11.0502 14.3109
2.9626 3.6846 8.0938
0.8320 10.4037 8.0962
4.1689 10.6792 1.5188
5.1134 8.7538 2.5586
0.1877 7.5527 6.7494
5.2843 6.3296 12.2433
6.2088 4.8420 7.5739
4.3882 4.0360 10.5667
2.0251 11.3034 12.2713
4.4813 9.8382 9.7203
5.7677 0.9202 1.1624
4.3345 1.2930 0.4123
-0.3306 11.0739 7.1223
6.7271 1.3207 7.2010
1.2831 3.6408 11.7648
-0.4764 9.4597 7.5590
0.6288 11.4745 13.1609
-0.4073 9.5575 0.4681
1.4351 9.8098 3.1910
6.8038 2.8371 13.8552
4.9614 2.5849 11.1324
4.3715 1.0913 2.0521
3.6704 3.2001 13.9260
3.4135 2.6875 10.4853
2.5803 7.5804 14.2840
1.6208 7.1798 5.9993
4.9788 4.1441 13.3889
1.1122 6.0650 2.0801
1.9548 1.3444 0.0125
4.3104 12.2623 5.0816
0.8146 8.8445 10.3527
6.1719 5.0437 9.2137
5.1530 7.5417 7.1492
6.1608 9.8819 13.3912
0.2246 7.3509 5.1096
1.4177 8.2506 0.9345
3.4339 8.7100 6.2295
5.7218 6.4217 4.0481
2.6428 1.6640 13.6975
3.7537 10.7306 0.6258
5.0135 11.5252 5.3610
4.0562 6.9627 5.8672
0.6747 5.9730 10.2753
2.0679 11.5260 9.6125
3.5677 3.6452 2.4814
6.9757 2.4898 9.6431
4.4742 10.7113 9.1930
5.1206 7.8806 2.0313
3.2467 5.8966 3.7402
0.5555 4.5333 6.5358
4.3286 0.8686 4.7109
4.6905 4.4908 5.3356
5.8410 7.8613 7.7875
-0.5792 9.9048 4.6802
2.3403 5.4320 8.4561
1.7061 7.9038 8.9877
1.5143 11.7583 5.5186
6.2147 5.2663 11.8726
0.8579 0.7653 1.2944
3.1498 6.4980 10.5832
2.5235 0.2244 3.1136
1.6391 2.2116 11.1381
0.1818 7.1283 2.4508
2.8288 8.7494 11.8419
-0.9001 12.1562 3.4215
0.5436 10.7505 1.8261
1.2759 4.5140 12.2920
4.8822 0.6364 8.8047
5.5386 11.6293 13.0289
3.8730 12.1703 11.2098
0.7354 6.8960 12.6803
5.8529 1.6442 12.4973
7.2966 0.2384 10.9019
1.5591 3.9858 3.9764
1.8153 5.3279 1.8007
1.3830 0.8694 8.9624
4.7574 10.1831 3.1853
4.8374 8.4089 10.3469
1.9224 1.6833 5.1303
4.5813 7.0667 12.5227
5.6611 5.4986 1.6430
4.4173 5.8920 4.8806
2.5402 4.6226 3.0018
2.8547 0.4980 4.6828
3.5418 11.8966 9.6406
0.3435 5.6993 11.8444
6.0530 6.6953 2.4789
0.2705 12.1517 2.2811
1.9792 6.5026 9.4428
3.8563 7.7721 11.3215
5.7384 10.8199 4.1598
6.1260 0.2430 12.0422
0.6581 1.5747 10.1635
1.1049 8.8803 12.8169
5.2517 2.6206 8.6681
5.2917 3.5144 1.5064
1.1448 9.7740 5.6552


CoPH6NO5 | the Alexandria database | GGA+U | optimized geometry; spin magnetization = 6.00 μB/cell; total energy = -80.856 eV/f.u.; space-group type = Pmn2_1, No. 31
1.0
-0.5268 -3.4731 -3.2886
0.6019 -3.9178 4.0412
-8.8462 0.0492 1.3652
O H N P Co
10 12 2 2 2
Cartesian
-7.2364 -2.6700 2.4538
-8.0294 -3.6763 -0.1441
-1.8005 -2.4810 -2.1371
-5.7818 -4.8929 0.0822
-1.8616 -4.6659 -0.2817
-7.2445 -0.9408 0.1669
-1.0475 -1.7384 0.2112
-3.3996 -1.2109 -0.6676
-0.7098 -3.9362 2.4783
-7.7652 -5.3963 1.6300
-4.3756 -2.3110 -1.5887
-6.9181 -4.7393 3.2654
-1.8818 -4.5481 -1.2638
-7.3531 -1.9079 0.3449
-4.0024 -0.0888 0.5100
-1.7148 -5.6345 -0.1431
-4.6141 -2.5289 2.2001
-3.4624 -3.7722 2.0185
-3.6439 -2.5910 0.8001
-5.5419 -3.5414 -1.4126
-5.1215 -6.2781 1.4103
-4.8399 -3.7794 1.0214
-4.1325 -3.1666 1.5101
-5.0497 -2.9423 -2.1003
-7.3298 -5.0596 0.1511
-1.9048 -1.3945 -1.0682
-9.1363 -3.3359 -1.8733
-0.1721 -3.6049 0.4953


CoPH6NO5 | the Alexandria database | GGA+U | optimized geometry; spin magnetization = 12.00 μB/cell; total energy = -80.856 eV/f.u.; space-group type = Pnma, No. 62
1.0
-4.7658 -0.3810 0.5685
0.7183 -0.6675 5.5740
-1.1453 17.7111 2.2686
H O Co P N
24 20 4 4 4
Cartesian
-4.2864 11.0943 4.1146
-4.4836 8.4424 5.8987
-3.4383 2.4619 1.3775
-1.2632 17.1211 3.6498
-1.1808 0.5970 0.7937
-0.9065 5.5683 4.2965
-2.4272 8.1267 2.7226
-0.7092 8.2202 2.5125
-0.7072 5.3831 5.8427
-4.2287 16.2669 5.9363
-4.0120 16.0656 7.6175
-3.2391 2.2767 2.9237
-3.6790 7.4095 4.8047
-2.2173 -0.2778 4.5623
-3.4623 7.2082 6.4859
-1.7305 9.4544 1.9252
-1.5138 9.2531 3.6064
-2.7656 8.5359 5.6885
-0.9642 0.3957 2.4749
-1.9537 14.3859 5.4874
-4.4856 11.2795 2.5684
-2.9755 16.9404 3.8488
-3.9297 -0.4585 4.7614
-1.7545 14.2007 7.0336
-4.3802 5.1307 1.3541
-3.7957 11.1054 3.2557
-2.0460 5.5392 2.3636
-1.3971 5.5571 5.1554
-3.8913 7.1932 2.7995
-4.4598 16.0491 3.9333
-1.1875 2.6005 6.0357
-3.8853 2.1630 5.0696
-3.9125 2.1948 2.2036
-3.1468 11.1234 6.0475
-1.5028 2.8936 3.5887
-0.8126 11.5319 7.0570
-1.3075 14.4996 3.3415
-3.6900 13.7690 4.8224
-1.2804 14.4678 6.2075
-4.0054 14.0620 2.3754
-1.1279 11.8249 4.6100
-4.0649 4.8377 3.8012
-0.7331 0.6135 4.4778
-1.3015 9.4694 5.6116
-0.7112 3.9891 2.0060
-2.7637 3.9095 5.1342
-2.4291 12.7531 3.2769
-4.4816 12.6735 6.4051
-0.5903 2.1564 4.6442
-4.6025 14.5062 3.7670
-3.5515 5.6889 2.5756
-1.6413 10.9737 5.8356
-1.5913 8.7712 2.6921
-1.0281 -0.0851 1.5589
-3.6016 7.8914 5.7190
-4.1647 16.7477 6.8522